# 1
TeIN GGA-PBE relaxed; raw total energy = -20.70 eV for the cell shown; uncorrected formation energy = 2.7 eV per formula unit; size of the total moment = 0.00 μB per formula unit; mass density = 4237 kg/m3
1.0
4.412 0.000 0.000
0.109 6.256 0.000
0.023 2.325 7.626
Te I N
2 2 2
direct
0.248 0.083 0.112
0.752 0.917 0.888
0.249 0.516 0.263
0.751 0.484 0.737
0.249 0.823 0.318
0.751 0.177 0.682

---

# 2
Ba3ZnPt2O6 GGA-PBE relaxed; raw total energy = -64.40 eV for the cell shown; uncorrected formation energy = -15.5 eV per formula unit; size of the total moment = 0.00 μB per formula unit; mass density = 7650 kg/m3
1.0
5.940 0.000 0.000
-2.970 5.145 0.000
0.000 0.000 6.844
Ba Zn Pt O
3 1 2 6
direct
0.000 0.000 0.000
0.333 0.667 0.647
0.667 0.333 0.353
0.000 0.000 0.500
0.333 0.667 0.159
0.667 0.333 0.841
0.164 0.327 0.314
0.164 0.836 0.314
0.327 0.164 0.686
0.673 0.836 0.314
0.836 0.164 0.686
0.836 0.673 0.686